[1]
GGA-PBE RbBa3Pd, relaxed; magnetization = 0.0 μB per formula unit; ρ = 3.1 g cm⁻³; VASP energy = -2.5962 eV per atom; DFT formation energy = -20.30 kJ/mol of atoms; space-group type = No. 148
1.0
4.007 2.313 11.743
-4.007 2.313 11.743
0.000 -4.627 11.743
Rb Ba Pd
2 6 2
Direct
0.166 0.166 0.166
0.834 0.834 0.834
0.052 0.392 0.707
0.293 0.948 0.608
0.392 0.707 0.052
0.608 0.293 0.948
0.707 0.052 0.392
0.948 0.608 0.293
0.333 0.333 0.333
0.667 0.667 0.667



[2]
GGA-PBE RbBa2Pd, relaxed; magnetization = 0.0 μB per formula unit; ρ = 3.9 g cm⁻³; VASP energy = -2.7007 eV per atom; DFT formation energy = -19.22 kJ/mol of atoms; space-group type = No. 123
1.0
4.069 0.000 0.000
0.000 4.069 0.000
0.000 0.000 11.900
Rb Ba Pd
1 2 1
Direct
0.000 0.000 0.000
0.500 0.500 0.345
0.500 0.500 0.655
0.000 0.000 0.500



[3]
GGA-PBE RbBa2Pd, relaxed; magnetization = 0.0 μB per formula unit; ρ = 4.8 g cm⁻³; VASP energy = -2.3957 eV per atom; DFT formation energy = 10.20 kJ/mol of atoms; space-group type = No. 225
1.0
0.000 4.330 4.330
4.330 0.000 4.330
4.330 4.330 0.000
Rb Ba Pd
1 2 1
Direct
0.000 0.000 0.000
0.250 0.250 0.250
0.750 0.750 0.750
0.500 0.500 0.500



[4]
GGA-PBE Rb2BaPd2, relaxed; magnetization = 0.0 μB per formula unit; ρ = 4.8 g cm⁻³; VASP energy = -2.7987 eV per atom; DFT formation energy = 4.83 kJ/mol of atoms; space-group type = No. 139
1.0
-2.433 2.433 7.649
2.433 -2.433 7.649
2.433 2.433 -7.649
Rb Ba Pd
2 1 2
Direct
0.250 0.750 0.500
0.750 0.250 0.500
0.000 0.000 0.000
0.413 0.413 0.000
0.587 0.587 0.000